# 1
LiPm2Ga9 | GGA-PBE | optimized geometry

Lattice parameters (Å, degrees): 4.2966 4.2966 12.5992 90.00 90.00 90.00
Last column: nearest neighbours and their distance in Å.
Fractional positions:
Li  0.0000  0.0000  0.0000  12 Ga 2.80-3.04
Pm  0.0000  0.0000  0.3206  12 Ga 3.05-3.12
Pm  0.0000  0.0000  0.6794  12 Ga 3.05-3.12
Ga  0.0000  0.5000  0.1420  2 Li 2.80, 6 Ga 2.80-3.04, 2 Pm 3.11
Ga  0.0000  0.5000  0.5000  8 Ga 2.92-3.04, 4 Pm 3.12
Ga  0.0000  0.5000  0.8580  2 Li 2.80, 6 Ga 2.80-3.04, 2 Pm 3.11
Ga  0.5000  0.0000  0.1420  2 Li 2.80, 6 Ga 2.80-3.04, 2 Pm 3.11
Ga  0.5000  0.0000  0.5000  8 Ga 2.92-3.04, 4 Pm 3.12
Ga  0.5000  0.0000  0.8580  2 Li 2.80, 6 Ga 2.80-3.04, 2 Pm 3.11
Ga  0.5000  0.5000  0.0000  8 Ga 2.80, 4 Li 3.04
Ga  0.5000  0.5000  0.3427  4 Ga 2.92, 4 Pm 3.05
Ga  0.5000  0.5000  0.6573  4 Ga 2.92, 4 Pm 3.05

## Properties
Magnetic moment (μB per cell): 0.000
Uncorrected energy (eV per atom): -3.63

# 2
LiPm8Ga2 | GGA-PBE | optimized geometry

Lattice parameters (Å, degrees): 9.4735 9.4735 7.0810 100.84 100.84 31.48
Last column: nearest neighbours and their distance in Å.
Fractional positions:
Li  0.0000  0.0000  0.0000  8 Pm 3.06-3.40
Pm  0.0939  0.0939  0.4644  1 Li 3.40, 8 Pm 3.47-3.62, 2 Ga 3.51
Pm  0.1637  0.1637  0.9561  3 Ga 3.02-3.14, 1 Li 3.06
Pm  0.3045  0.3045  0.6996  3 Ga 3.05-3.27
Pm  0.4710  0.4710  0.2480  1 Ga 3.09, 2 Li 3.21
Pm  0.5290  0.5290  0.7520  1 Ga 3.09, 2 Li 3.21
Pm  0.6955  0.6955  0.3004  3 Ga 3.05-3.27
Pm  0.8363  0.8363  0.0439  3 Ga 3.02-3.14, 1 Li 3.06
Pm  0.9061  0.9061  0.5356  1 Li 3.40, 8 Pm 3.47-3.62, 2 Ga 3.51
Ga  0.3030  0.3030  0.2676  7 Pm 3.02-3.27
Ga  0.6970  0.6970  0.7324  7 Pm 3.02-3.27

## Properties
Magnetic moment (μB per cell): 0.000
Uncorrected energy (eV per atom): -4.34

# 3
LiPm3Ga | GGA-PBE | optimized geometry

Lattice parameters (Å, degrees): 10.4971 10.4971 5.1702 90.00 90.00 151.45
Last column: nearest neighbours and their distance in Å.
Fractional positions:
Li  0.1583  0.8417  0.7500  8 Pm 3.18-3.22
Li  0.8417  0.1583  0.2500  8 Pm 3.18-3.22
Pm  0.0643  0.9357  0.2500  2 Li 3.22, 2 Ga 3.25
Pm  0.2492  0.7508  0.2500  4 Ga 3.15-3.17, 4 Li 3.18-3.20
Pm  0.4323  0.5677  0.2500  2 Li 3.18, 2 Ga 3.20
Pm  0.5677  0.4323  0.7500  2 Li 3.18, 2 Ga 3.20
Pm  0.7508  0.2492  0.7500  4 Ga 3.15-3.17, 4 Li 3.18-3.20
Pm  0.9357  0.0643  0.7500  2 Li 3.22, 2 Ga 3.25
Ga  0.3394  0.6606  0.7500  8 Pm 3.15-3.25
Ga  0.6606  0.3394  0.2500  8 Pm 3.15-3.25

## Properties
Magnetic moment (μB per cell): 0.000
Uncorrected energy (eV per atom): -4.05
Energy above the most stable polymorph in this dataset (eV/atom): 0.000

Number 1: formation enthalpy at 0 K -409 meV/atom, density of states at the Fermi level 0.282 states/eV/atom. Number 2: formation enthalpy at 0 K -165 meV/atom, density of states at the Fermi level 0.943 states/eV/atom. Number 3: formation enthalpy at 0 K -214 meV/atom, density of states at the Fermi level 1.045 states/eV/atom.